Compound: EuRhC
Source: the Alexandria database
Functional: GGA-PBE
Structure: relaxed

```
data_EuRhC
_symmetry_space_group_name_H-M 'P 3 m 1'
_symmetry_Int_Tables_number 156
_cell_length_a 3.3750
_cell_length_b 3.3750
_cell_length_c 5.0534
_cell_angle_alpha 90.00
_cell_angle_beta 90.00
_cell_angle_gamma 120.00
loop_
_symmetry_equiv_pos_as_xyz
'x,y,z'
'-y,x-y,z'
'-x+y,-x,z'
'-y,-x,z'
'-x+y,y,z'
'x,x-y,z'
loop_
_atom_site_label
_atom_site_type_symbol
_atom_site_fract_x
_atom_site_fract_y
_atom_site_fract_z
Eu1 Eu 0.0000 0.0000 0.0000
Rh1 Rh 0.6667 0.3333 0.4776
C1 C 0.3333 0.6667 0.3530
```

Computed properties:
energy = -8.96 eV per atom
calculated volume = 16.62 Å³ per atom

---

Compound: EuRuC2
Source: the Alexandria database
Functional: GGA-PBE
Structure: relaxed

```
data_EuRuC2
_symmetry_space_group_name_H-M 'R -3 m'
_symmetry_Int_Tables_number 166
_symmetry_space_group_name_Hall '-R 3 2"'
_cell_length_a 3.2994
_cell_length_b 3.2994
_cell_length_c 16.2448
_cell_angle_alpha 90.00
_cell_angle_beta 90.00
_cell_angle_gamma 120.00
loop_
_atom_site_label
_atom_site_type_symbol
_atom_site_fract_x
_atom_site_fract_y
_atom_site_fract_z
Eu1 Eu 0.0000 0.0000 0.0000
Ru1 Ru 0.0000 0.0000 0.5000
C1 C 0.0000 0.0000 0.2299
```

Computed properties:
energy = -8.96 eV per atom
calculated volume = 12.76 Å³ per atom

---

Compound: EuRuC
Source: the Alexandria database
Functional: GGA-PBE
Structure: relaxed

```
data_EuRuC
_symmetry_space_group_name_H-M 'P -6 m 2'
_symmetry_Int_Tables_number 187
_symmetry_space_group_name_Hall 'P -6 2'
_cell_length_a 3.4698
_cell_length_b 3.4698
_cell_length_c 4.8382
_cell_angle_alpha 90.00
_cell_angle_beta 90.00
_cell_angle_gamma 120.00
loop_
_atom_site_label
_atom_site_type_symbol
_atom_site_fract_x
_atom_site_fract_y
_atom_site_fract_z
Eu1 Eu 0.0000 0.0000 0.0000
Ru1 Ru 0.3333 0.6667 0.5000
C1 C 0.6667 0.3333 0.5000
```

Computed properties:
energy = -9.51 eV per atom
calculated volume = 16.82 Å³ per atom